# 1
! Pm8Te4PSe3, relaxed, DFT PBE-GGA; values from VASP
! Formation energy without anion corrections   -158 kJ per mole of atoms
! E_tot   -5.79 eV per atom
! Calculated density   7.01 g/cm³
&SYSTEM
  ibrav = 0, nat = 16, ntyp = 4
/
ATOMIC_SPECIES
Se 78.96 Se.upf
P 30.97 P.upf
Pm 145.00 Pm.upf
Te 127.60 Te.upf
CELL_PARAMETERS angstrom
-0.0047 7.0741 4.8584
-7.9302 2.0749 -3.0289
1.2539 -7.6838 3.6099
ATOMIC_POSITIONS crystal
Se 0.0000 0.5000 0.5000
P 0.0000 0.5000 0.0000
Pm 0.7516 0.7143 0.9829
Pm 0.2484 0.2858 0.0171
Pm 0.7687 0.2857 0.5374
Te 0.0000 0.0000 0.0000
Te 0.5000 0.0000 0.0000
Pm 0.2313 0.7143 0.4626
Se 0.5000 0.5000 0.0000
Pm 0.7397 0.7192 0.4795
Te 0.0000 0.0000 0.5000
Te 0.5000 0.0000 0.5000
Se 0.5000 0.5000 0.5000
Pm 0.2313 0.7143 0.9829
Pm 0.7687 0.2858 0.0171
Pm 0.2603 0.2808 0.5205

***

# 2
! Ba3Li2Pb4, relaxed, DFT PBE-GGA; values from VASP
! E_tot   -3.19 eV per atom
! Calculated density   6.71 g/cm³
! Formation energy from the elements   -0.473 eV/atom
&SYSTEM
  ibrav = 0, nat = 9, ntyp = 3
/
ATOMIC_SPECIES
Li 6.94 Li.upf
Ba 137.33 Ba.upf
Pb 207.20 Pb.upf
CELL_PARAMETERS angstrom
5.1675 0.0000 0.0000
-2.5837 6.0084 -1.4237
0.0000 0.2985 9.9254
ATOMIC_POSITIONS crystal
Li 0.6889 0.3777 0.3647
Li 0.3111 0.6223 0.6353
Ba 0.6254 0.2508 0.6945
Pb 0.9070 0.8140 0.5871
Pb 0.7118 0.4236 0.0747
Pb 0.2882 0.5764 0.9253
Pb 0.0930 0.1860 0.4129
Ba 0.3746 0.7492 0.3055
Ba 0.0000 0.0000 0.0000

***

# 3
! La3BiIr, relaxed, DFT PBE-GGA; values from VASP
! E_tot   -5.69 eV per atom
! Excess energy over the best structure of this formula in the dataset   646 meV/atom
! Calculated density   6.88 g/cm³
! Formation energy from the elements   -0.183 eV/atom
&SYSTEM
  ibrav = 0, nat = 5, ntyp = 3
/
ATOMIC_SPECIES
Bi 208.98 Bi.upf
La 138.91 La.upf
Ir 192.22 Ir.upf
CELL_PARAMETERS angstrom
-0.5832 4.5649 1.5297
-2.3969 -1.6117 3.8956
7.2281 -0.4979 4.2413
ATOMIC_POSITIONS crystal
Bi 0.0000 0.0000 0.1225
La 0.0000 0.0000 0.7495
La 0.5000 0.0000 0.3998
Ir 0.5000 0.5000 0.5921
La 0.0000 0.5000 0.3998

***

# 4
! TlAg3Br2F6, relaxed, DFT PBE-GGA; values from VASP
! Formation energy without anion corrections   -106 kJ per mole of atoms
! E_tot   -3.22 eV per atom
! Calculated density   5.75 g/cm³
&SYSTEM
  ibrav = 0, nat = 12, ntyp = 4
/
ATOMIC_SPECIES
Ag 107.87 Ag.upf
F 19.00 F.upf
Tl 204.38 Tl.upf
Br 79.90 Br.upf
CELL_PARAMETERS angstrom
5.2071 0.0000 0.4498
0.0000 6.8340 0.0000
-0.1320 -3.4170 6.4972
ATOMIC_POSITIONS crystal
Ag 0.0000 0.5000 0.0000
F 0.7264 0.3041 0.1342
Ag 0.5000 0.0000 0.5000
F 0.2736 0.1699 0.8658
F 0.3111 0.1600 0.3201
Tl 0.5000 0.0000 0.0000
Br 0.8205 0.3186 0.6372
Ag 0.5000 0.5000 0.5000
F 0.2736 0.6959 0.8658
F 0.6889 0.8400 0.6799
F 0.7264 0.8301 0.1342
Br 0.1795 0.6814 0.3628

***

# 5
! RbTaMn3, relaxed, DFT PBE-GGA; values from VASP
! E_tot   -5.44 eV per atom
! Excess energy over the best structure of this formula in the dataset   1374 meV/atom
! Calculated density   6.95 g/cm³
! Formation energy from the elements   2.628 eV/atom
&SYSTEM
  ibrav = 0, nat = 5, ntyp = 3
/
ATOMIC_SPECIES
Mn 54.94 Mn.upf
Rb 85.47 Rb.upf
Ta 180.95 Ta.upf
CELL_PARAMETERS angstrom
4.6875 0.0000 0.0000
0.0000 4.6875 0.0000
0.0000 0.0000 4.6875
ATOMIC_POSITIONS crystal
Mn 0.0000 0.0000 0.5000
Rb 0.0000 0.0000 0.0000
Mn 0.0000 0.5000 0.0000
Mn 0.5000 0.0000 0.0000
Ta 0.5000 0.5000 0.5000

***

# 6
! LiInSb2Te, relaxed, DFT PBE-GGA; values from VASP
! Formation energy without anion corrections   44 kJ per mole of atoms
! E_tot   -2.75 eV per atom
! Excess energy over the best structure of this formula in the dataset   240 meV/atom
! Calculated density   4.31 g/cm³
&SYSTEM
  ibrav = 0, nat = 5, ntyp = 4
/
ATOMIC_SPECIES
Sb 121.76 Sb.upf
Te 127.60 Te.upf
Li 6.94 Li.upf
In 114.82 In.upf
CELL_PARAMETERS angstrom
-0.9814 -3.9888 3.9032
-0.8215 -3.8167 -4.1070
5.7580 -1.3322 0.0863
ATOMIC_POSITIONS crystal
Sb 0.5000 0.0000 0.0000
Sb 0.0000 0.5000 0.0000
Te 0.0000 0.0000 0.5000
Li 0.5000 0.5000 0.5000
In 0.0000 0.0000 0.0000

***

# 7
! Mn4ZnCl, relaxed, DFT PBE-GGA; values from VASP
! Formation energy without anion corrections   72 kJ per mole of atoms
! E_tot   -5.89 eV per atom
! Calculated density   6.07 g/cm³
&SYSTEM
  ibrav = 0, nat = 6, ntyp = 3
/
ATOMIC_SPECIES
Mn 54.94 Mn.upf
Zn 65.41 Zn.upf
Cl 35.45 Cl.upf
CELL_PARAMETERS angstrom
0.0000 3.5260 3.5260
3.5260 0.0000 3.5260
3.5260 3.5260 0.0000
ATOMIC_POSITIONS crystal
Mn 0.3773 0.3773 0.8682
Mn 0.8682 0.3773 0.3773
Mn 0.3773 0.3773 0.3773
Zn 0.7500 0.7500 0.7500
Mn 0.3773 0.8682 0.3773
Cl 0.0000 0.0000 0.0000

***

# 8
! CaInH, relaxed, DFT PBE-GGA; values from VASP
! E_tot   -2.88 eV per atom
! Excess energy over the best structure of this formula in the dataset   287 meV/atom
! Calculated density   4.09 g/cm³
&SYSTEM
  ibrav = 0, nat = 3, ntyp = 3
/
ATOMIC_SPECIES
In 114.82 In.upf
Ca 40.08 Ca.upf
H 1.01 H.upf
CELL_PARAMETERS angstrom
-2.8166 -0.9756 -1.2093
1.2009 -2.9555 -0.4127
-1.0683 0.4188 6.4284
ATOMIC_POSITIONS crystal
In 0.0071 0.0071 0.0141
Ca 0.7359 0.7359 0.4719
H 0.2570 0.2570 0.5140

***

Question: calculated density of number 1 (Pm8Te4PSe3)?
Answer: 7.01 g/cm³

***

Question: Look up the E_tot of the eighth one.
Answer: -2.88 eV per atom

***

Question: Among the records above, which one has the highest E_tot?
Answer: LiInSb2Te